Record 1
Entry from the Alexandria database: a PBEsol-optimized structure of KTeOs2 (meta-GGA SCAN).

- DOS at the Fermi energy (states/eV/atom) = 1.161
- E_form (uncorrected) (eV per atom) = 1.576
- calculated volume (Å³/f.u.) = 73.8

Lattice parameters (Å, degrees): 4.0162 4.0162 4.5731 90.00 90.00 90.00
Closest atoms and distances in Å follow each position.
Fractional coordinates of all 4 atoms:
Os (0.0000, 0.5000, 0.0000)  4 Os 2.84, 4 Te 3.04, 4 K 3.04
Os (0.5000, 0.0000, 0.0000)  4 Os 2.84, 4 Te 3.04, 4 K 3.04
K (0.0000, 0.0000, 0.5000)  4 Te 2.84, 8 Os 3.04
Te (0.5000, 0.5000, 0.5000)  4 K 2.84, 8 Os 3.04

Record 2
Entry from the Alexandria database: a PBEsol-optimized structure of K2TiTeOs (meta-GGA SCAN).

- DOS at the Fermi energy (states/eV/atom) = 0.327
- E_form (uncorrected) (eV per atom) = 1.162
- calculated volume (Å³/f.u.) = 209.9

Lattice parameters (Å, degrees): 5.2093 6.3477 6.3477 90.00 90.00 90.00
Closest atoms and distances in Å follow each position.
Fractional coordinates of all 5 atoms:
Te (0.0000, 0.0000, 0.0000)  2 Ti 2.60
Os (0.5000, 0.5000, 0.5000)  8 K 4.11, 4 Ti 4.49
K (0.0000, 0.5000, 0.0000)  2 Te 3.17
Ti (0.5000, 0.0000, 0.0000)  2 Te 2.60
K (0.0000, 0.0000, 0.5000)  2 Te 3.17

Record 3
Entry from the Alexandria database: a PBEsol-optimized structure of KTlOs2 (meta-GGA SCAN).

- DOS at the Fermi energy (states/eV/atom) = 0.939
- calculated volume (Å³/f.u.) = 76.7
- energy above the most stable polymorph in this dataset (eV/atom) = 0.100
- formation enthalpy at 0 K (eV/atom) = 1.5876

Lattice parameters (Å, degrees): 2.6145 5.7096 5.8752 119.07 90.00 90.00
Closest atoms and distances in Å follow each position.
Fractional coordinates of all 4 atoms:
Os (0.0000, 0.0000, 0.5000)  4 Os 2.61-2.85
Tl (0.5000, 0.0000, 0.0000)  2 Tl 2.61, 2 K 2.85
Os (0.0000, 0.5000, 0.5000)  4 Os 2.61-2.85
K (0.5000, 0.5000, 0.0000)  2 K 2.61, 2 Tl 2.85

Record 4
Entry from the Alexandria database: a PBEsol-optimized structure of KTl2Os2 (meta-GGA SCAN).

- DOS at the Fermi energy (states/eV/atom) = 0.498
- calculated volume (Å³/f.u.) = 123.2
- formation enthalpy at 0 K (eV/atom) = 0.5173

Lattice parameters (Å, degrees): 3.5727 3.5727 9.9793 100.31 100.31 90.00
Closest atoms and distances in Å follow each position.
Fractional coordinates of all 5 atoms:
K (0.0000, 0.0000, 0.0000)  8 Tl 3.56, 4 K 3.57
Tl (0.3700, 0.3700, 0.7401)  4 Os 2.93
Tl (0.6300, 0.6300, 0.2599)  4 Os 2.93
Os (0.7500, 0.2500, 0.5000)  4 Os 2.53
Os (0.2500, 0.7500, 0.5000)  4 Os 2.53